Entry from the Alexandria database: Pm4As2I3 after structural relaxation (PBE).

## Properties
The volume is 33.74 A^3/atom. The calculation puts the formation energy from raw total energies at -1.41 eV/atom.

a b c (Å): 4.2937 4.2937 19.0159
angles (deg): 90.05 90.05 60.00
Element x y z (fractional)
1 Pm 0.0006 0.0006 0.2836
2 Pm 0.3336 0.3336 0.1222
3 Pm 0.6664 0.6664 0.8778
4 Pm 0.9994 0.9994 0.7164
5 As 0.3329 0.3329 0.7997
6 As 0.6671 0.6671 0.2003
7 I 0.0000 0.0000 0.0000
8 I 0.3342 0.3342 0.3922
9 I 0.6658 0.6658 0.6078